Entry from Alexandria: a geometry-optimized CaY3Re structure (PBE).

a = 5.2830 Å, b = 5.2830 Å, c = 5.2830 Å
α = 90.00°, β = 90.00°, γ = 90.00°
With the nearest neighbours (Å) after each atom.
Space group Pm-3m (No. 221)
Symmetry-distinct sites (fractional):
Ca1 0.0000 0.0000 0.0000  6 Y 2.64
Y1 0.0000 0.0000 0.5000  2 Ca 2.64
Re1 0.5000 0.5000 0.5000  12 Y 3.74

Results
Excess energy over the best structure of this formula in the dataset   1.6962 eV/atom
Energy of formation   1.873 eV/atom
Magnetization   3.30 μB per cell

=====

Entry from Alexandria: a geometry-optimized Cr3SbIr structure (PBE).

a = 4.7721 Å, b = 4.7721 Å, c = 4.7721 Å
α = 90.00°, β = 90.00°, γ = 90.00°
With the nearest neighbours (Å) after each atom.
Space group Pm-3m (No. 221)
Symmetry-distinct sites (fractional):
Cr1 0.0000 0.0000 0.5000  2 Ir 2.39
Sb1 0.5000 0.5000 0.5000  12 Cr 3.37
Ir1 0.0000 0.0000 0.0000  6 Cr 2.39

Results
Excess energy over the best structure of this formula in the dataset   0.0000 eV/atom
Magnetization   10.42 μB per cell

=====

Entry from Alexandria: a geometry-optimized NaAlH4 structure (PBE).

a = 6.9813 Å, b = 6.9813 Å, c = 6.2598 Å
α = 90.00°, β = 90.00°, γ = 90.00°
With the nearest neighbours (Å) after each atom.
Space group I4_1/amd (No. 141, origin choice 2)
Symmetry-distinct sites (fractional):
Na1 0.0000 0.2500 0.3750  8 H 2.27-2.49
Al1 0.0000 0.2500 0.8750  4 H 1.63
H1 0.0000 0.0654 0.7162  1 Al 1.63

Results
E   -3.222 eV per atom
Magnetization   0.00 μB per cell